Below is a crystal of Sc2MnTc2 relaxed with PBEsol, with properties calculated at the meta-GGA SCAN level.

Cell lengths 3.4203, 3.4203, 15.7758 Å; angles 90.00, 90.00, 90.00 degrees
Sites, in units of the cell vectors:
1 Sc 0.0000 0.0000 0.1010
2 Sc 0.0000 0.0000 0.8990
3 Sc 0.5000 0.5000 0.3990
4 Sc 0.5000 0.5000 0.6010
5 Mn 0.0000 0.0000 0.5000
6 Mn 0.5000 0.5000 0.0000
7 Tc 0.0000 0.5000 0.2500
8 Tc 0.0000 0.5000 0.7500
9 Tc 0.5000 0.0000 0.2500
10 Tc 0.5000 0.0000 0.7500

Values from the calculation:
DOS at the Fermi energy = 4.07 states/eV/f.u.
E = -0.851 Ha/atom
E_form = 0.2008 eV/atom
total magnetic moment = 3.08 μB/f.u.
symmetry = No. 139

***

Below is a crystal of MnCoTc2 relaxed with PBEsol, with properties calculated at the meta-GGA SCAN level.

Cell lengths 8.4854, 2.5973, 4.5281 Å; angles 90.00, 99.89, 90.00 degrees
Sites, in units of the cell vectors:
1 Mn 0.0000 0.0000 0.0000
2 Mn 0.5000 0.5000 0.0000
3 Co 0.0000 0.5000 0.5000
4 Co 0.5000 0.0000 0.5000
5 Tc 0.2480 0.0000 0.7484
6 Tc 0.2520 0.5000 0.2516
7 Tc 0.7480 0.5000 0.7484
8 Tc 0.7520 0.0000 0.2516

Values from the calculation:
DOS at the Fermi energy = 4.21 states/eV/f.u.
E = -0.965 Ha/atom
E_form = 0.1479 eV/atom
total magnetic moment = 1.13 μB/f.u.
symmetry = No. 12
excess energy over the best structure of this formula in the dataset = 0.112 eV/atom

***

Below is a crystal of SrIn3N relaxed with PBEsol, with properties calculated at the meta-GGA SCAN level.

Cell lengths 4.9087, 4.9087, 4.9087 Å; angles 90.00, 90.00, 90.00 degrees
Sites, in units of the cell vectors:
1 Sr 0.0000 0.0000 0.0000
2 In 0.0000 0.5000 0.5000
3 In 0.5000 0.0000 0.5000
4 In 0.5000 0.5000 0.0000
5 N 0.5000 0.5000 0.5000

Values from the calculation:
DOS at the Fermi energy = 3.23 states/eV/f.u.
E = -0.957 Ha/atom
raw formation energy = 294 meV/atom
total magnetic moment = 0.00 μB/f.u.
symmetry = No. 221
excess energy over the best structure of this formula in the dataset = 0.000 eV/atom

***

Below is a crystal of Sc4AgAu relaxed with PBEsol, with properties calculated at the meta-GGA SCAN level.

Cell lengths 5.5316, 5.5316, 5.5316 Å; angles 60.00, 60.00, 60.00 degrees
Sites, in units of the cell vectors:
1 Sc 0.1245 0.1245 0.1245
2 Sc 0.1245 0.1245 0.6265
3 Sc 0.1245 0.6265 0.1245
4 Sc 0.6265 0.1245 0.1245
5 Ag 0.5000 0.5000 0.5000
6 Au 0.7500 0.7500 0.7500

Values from the calculation:
DOS at the Fermi energy = 6.39 states/eV/f.u.
E = -0.957 Ha/atom
E_form = 0.1945 eV/atom
total magnetic moment = 0.00 μB/f.u.
symmetry = No. 216

***

Below is a crystal of CsFeC3 relaxed with PBEsol, with properties calculated at the meta-GGA SCAN level.

Cell lengths 4.4437, 4.4437, 4.4437 Å; angles 90.00, 90.00, 90.00 degrees
Sites, in units of the cell vectors:
1 Cs 0.0000 0.0000 0.0000
2 Fe 0.5000 0.5000 0.5000
3 C 0.0000 0.0000 0.5000
4 C 0.0000 0.5000 0.0000
5 C 0.5000 0.0000 0.0000

Values from the calculation:
DOS at the Fermi energy = 4.37 states/eV/f.u.
E = -0.466 Ha/atom
E_form = 4.5596 eV/atom
total magnetic moment = 2.29 μB/f.u.
symmetry = No. 221

***

Below is a crystal of ScBe2Zn2 relaxed with PBEsol, with properties calculated at the meta-GGA SCAN level.

Cell lengths 3.8214, 3.8214, 9.3276 Å; angles 90.00, 90.00, 90.00 degrees
Sites, in units of the cell vectors:
1 Sc 0.0000 0.0000 0.0000
2 Sc 0.5000 0.5000 0.5000
3 Be 0.0000 0.5000 0.2500
4 Be 0.0000 0.5000 0.7500
5 Be 0.5000 0.0000 0.2500
6 Be 0.5000 0.0000 0.7500
7 Zn 0.0000 0.0000 0.3740
8 Zn 0.0000 0.0000 0.6260
9 Zn 0.5000 0.5000 0.1260
10 Zn 0.5000 0.5000 0.8740

Values from the calculation:
DOS at the Fermi energy = 2.19 states/eV/f.u.
E = -0.374 Ha/atom
E_form = -0.1749 eV/atom
total magnetic moment = 0.00 μB/f.u.
symmetry = No. 139

***

Below is a crystal of FeOsS2Cl relaxed with PBEsol, with properties calculated at the meta-GGA SCAN level.

Cell lengths 4.5134, 4.5134, 4.8215 Å; angles 90.00, 90.00, 90.00 degrees
Sites, in units of the cell vectors:
1 Fe 0.0000 0.0000 0.0000
2 Os 0.5000 0.5000 0.5000
3 S 0.0000 0.5000 0.5000
4 S 0.5000 0.0000 0.5000
5 Cl 0.5000 0.5000 0.0000

Values from the calculation:
DOS at the Fermi energy = 5.03 states/eV/f.u.
E = -0.836 Ha/atom
raw formation energy = 695 meV/atom
total magnetic moment = 3.80 μB/f.u.
symmetry = No. 123

***

Below is a crystal of Ca3IN relaxed with PBEsol, with properties calculated at the meta-GGA SCAN level.

Cell lengths 4.9326, 4.9326, 4.9326 Å; angles 90.00, 90.00, 90.00 degrees
Sites, in units of the cell vectors:
1 Ca 0.0000 0.0000 0.5000
2 Ca 0.0000 0.5000 0.0000
3 Ca 0.5000 0.0000 0.0000
4 I 0.5000 0.5000 0.5000
5 N 0.0000 0.0000 0.0000

Values from the calculation:
DOS at the Fermi energy = 2.58 states/eV/f.u.
E = -0.579 Ha/atom
raw formation energy = -750 meV/atom
total magnetic moment = 0.00 μB/f.u.
symmetry = No. 221
excess energy over the best structure of this formula in the dataset = 0.000 eV/atom

***

Below is a crystal of NiTeAs3 relaxed with PBEsol, with properties calculated at the meta-GGA SCAN level.

Cell lengths 5.1730, 5.1730, 5.1730 Å; angles 90.00, 90.00, 90.00 degrees
Sites, in units of the cell vectors:
1 Ni 0.0000 0.0000 0.0000
2 Te 0.5000 0.5000 0.5000
3 As 0.0000 0.5000 0.5000
4 As 0.5000 0.0000 0.5000
5 As 0.5000 0.5000 0.0000

Values from the calculation:
DOS at the Fermi energy = 7.16 states/eV/f.u.
E = -0.778 Ha/atom
raw formation energy = 1617 meV/atom
total magnetic moment = 1.57 μB/f.u.
symmetry = No. 221

***

Below is a crystal of TcPb3 relaxed with PBEsol, with properties calculated at the meta-GGA SCAN level.

Cell lengths 3.4758, 8.6922, 6.3127 Å; angles 90.00, 90.00, 90.00 degrees
Sites, in units of the cell vectors:
1 Tc 0.0000 0.0000 0.0000
2 Tc 0.5000 0.5000 0.5000
3 Pb 0.0000 0.3088 0.7492
4 Pb 0.0000 0.5000 0.1616
5 Pb 0.0000 0.6912 0.7492
6 Pb 0.5000 0.0000 0.6616
7 Pb 0.5000 0.1912 0.2492
8 Pb 0.5000 0.8088 0.2492

Values from the calculation:
DOS at the Fermi energy = 2.52 states/eV/f.u.
E = -2.396 Ha/atom
E_form = 0.4006 eV/atom
total magnetic moment = 0.00 μB/f.u.
symmetry = No. 44
excess energy over the best structure of this formula in the dataset = 0.000 eV/atom

***

Below is a crystal of CaYPb2 relaxed with PBEsol, with properties calculated at the meta-GGA SCAN level.

Cell lengths 7.1196, 8.7593, 3.5450 Å; angles 90.00, 90.00, 90.00 degrees
Sites, in units of the cell vectors:
1 Ca 0.0000 0.0000 0.0000
2 Ca 0.5000 0.5000 0.0000
3 Y 0.0000 0.5000 0.0000
4 Y 0.5000 0.0000 0.0000
5 Pb 0.2500 0.2500 0.5000
6 Pb 0.2500 0.7500 0.5000
7 Pb 0.7500 0.2500 0.5000
8 Pb 0.7500 0.7500 0.5000

Values from the calculation:
DOS at the Fermi energy = 2.12 states/eV/f.u.
E = -1.763 Ha/atom
E_form = -0.7094 eV/atom
total magnetic moment = 0.28 μB/f.u.
symmetry = No. 65

***

Below is a crystal of Dy3Ag4Sn4 relaxed with PBEsol, with properties calculated at the meta-GGA SCAN level.

Cell lengths 8.6342, 8.6342, 8.6342 Å; angles 149.78, 130.47, 59.13 degrees
Sites, in units of the cell vectors:
1 Dy 0.0000 0.0000 0.0000
2 Dy 0.3721 0.8721 0.5000
3 Dy 0.6279 0.1279 0.5000
4 Ag 0.0263 0.3282 0.6981
5 Ag 0.3700 0.6718 0.6981
6 Ag 0.6300 0.3282 0.3019
7 Ag 0.9737 0.6718 0.3019
8 Sn 0.2146 0.2146 0.0000
9 Sn 0.3032 0.5000 0.8032
10 Sn 0.6968 0.5000 0.1968
11 Sn 0.7854 0.7854 0.0000

Values from the calculation:
DOS at the Fermi energy = 2.45 states/eV/f.u.
E = -1.399 Ha/atom
E_form = -0.5558 eV/atom
total magnetic moment = 0.00 μB/f.u.
symmetry = No. 71

***

Question: Number 11 is which compound?
Answer: CaYPb2

***

Question: Which of these has the lowest DOS at the Fermi energy?
Answer: CaYPb2

***

Question: Look up the total magnetic moment of the seventh one.
Answer: 3.80 μB/f.u.